(1)
## Sc5CdAu4 (PBE-GGA)

Data for crystalline Sc5CdAu4 at its relaxed geometry.

abc: 3.413 3.413 17.336
angles: 90.00 90.00 90.00
Fractional coordinates of all 10 atoms:
Sc (0.500, 0.500, 0.109)
Au (0.000, 0.000, 0.402)
Sc (0.500, 0.500, 0.891)
Au (0.000, 0.000, 0.598)
Sc (0.500, 0.500, 0.696)
Sc (0.500, 0.500, 0.500)
Sc (0.500, 0.500, 0.304)
Au (0.000, 0.000, 0.797)
Au (0.000, 0.000, 0.203)
Cd (0.000, 0.000, 0.000)

Computed properties:
Total energy in eV per atom: -5.273
Crystal system: tetragonal

***

(2)
## Ac6Co2SCl3 (PBE-GGA)

Data for crystalline Ac6Co2SCl3 at its relaxed geometry.

abc: 4.175 8.970 10.378
angles: 103.94 101.60 90.00
Fractional coordinates of all 12 atoms:
Co (0.827, 0.677, 0.655)
Ac (0.680, 0.553, 0.359)
Co (0.173, 0.323, 0.345)
Ac (0.975, 0.752, 0.950)
Ac (0.669, 0.104, 0.339)
Cl (0.500, 0.500, 0.000)
Ac (0.320, 0.447, 0.641)
Ac (0.331, 0.896, 0.661)
Ac (0.025, 0.248, 0.050)
Cl (0.869, 0.199, 0.738)
S (0.500, 0.000, 0.000)
Cl (0.131, 0.801, 0.262)

Computed properties:
Energy relative to the elements, uncorrected in eV/atom: -1.12
Crystal system: monoclinic

***

(3)
## Cs2MnVS4 (PBE-GGA)

Data for crystalline Cs2MnVS4 at its relaxed geometry.

abc: 5.534 7.703 12.918
angles: 85.59 77.63 68.95
Fractional coordinates of all 16 atoms:
S (0.226, 0.180, 0.901)
Mn (0.750, 0.500, 0.500)
Cs (0.575, 0.500, 0.850)
S (0.443, 0.680, 0.401)
Cs (0.825, 0.000, 0.350)
S (0.524, 0.320, 0.599)
S (0.877, 0.680, 0.599)
S (0.593, 0.180, 0.099)
V (0.250, 0.500, 0.500)
S (0.873, 0.820, 0.901)
Mn (0.000, 0.000, 0.000)
V (0.500, 0.000, 0.000)
Cs (0.175, 0.000, 0.650)
Cs (0.925, 0.500, 0.150)
S (0.307, 0.820, 0.099)
S (0.157, 0.320, 0.401)

Computed properties:
Energy relative to the elements, uncorrected in eV/atom: -1.08
Crystal system: orthorhombic

***

(4)
## LuPuTh2 (PBE-GGA)

Data for crystalline LuPuTh2 at its relaxed geometry.

abc: 3.538 3.538 9.536
angles: 90.00 90.00 90.00
Fractional coordinates of all 4 atoms:
Th (0.000, 0.000, 0.259)
Pu (0.500, 0.500, 0.500)
Th (0.000, 0.000, 0.741)
Lu (0.500, 0.500, 0.000)

Computed properties:
Crystal system: tetragonal
Relative energy among the computed polymorphs in meV per atom: 14

***

(5)
## KGdHo2 (PBE-GGA)

Data for crystalline KGdHo2 at its relaxed geometry.

abc: 3.565 3.565 13.367
angles: 82.34 82.34 60.00
Fractional coordinates of all 4 atoms:
Gd (0.500, 0.500, 0.500)
Ho (0.905, 0.905, 0.286)
Ho (0.095, 0.095, 0.714)
K (0.000, 0.000, 0.000)

Computed properties:
Total energy in eV per atom: -5.822
Crystal system: trigonal

***

(6)
## TeMoPtI2 (PBE-GGA)

Data for crystalline TeMoPtI2 at its relaxed geometry.

abc: 5.381 5.381 5.217
angles: 90.00 90.00 90.00
Fractional coordinates of all 5 atoms:
I (0.500, 0.000, 0.000)
Pt (0.500, 0.500, 0.500)
I (0.000, 0.500, 0.000)
Te (0.000, 0.000, 0.500)
Mo (0.000, 0.000, 0.000)

Computed properties:
Energy relative to the elements, uncorrected in eV/atom: 1.03
Crystal system: tetragonal
Relative energy among the computed polymorphs in meV per atom: 94

***

(7)
## CuPdAu2 (PBE-GGA)

Data for crystalline CuPdAu2 at its relaxed geometry.

abc: 3.853 3.853 9.885
angles: 78.76 78.76 90.00
Fractional coordinates of all 8 atoms:
Cu (0.500, 0.500, 0.000)
Au (0.375, 0.379, 0.750)
Au (0.129, 0.625, 0.250)
Cu (0.250, 0.750, 0.500)
Pd (0.000, 0.000, 0.000)
Au (0.621, 0.125, 0.250)
Au (0.875, 0.871, 0.750)
Pd (0.750, 0.250, 0.500)

Computed properties:
Crystal system: tetragonal
Relative energy among the computed polymorphs in meV per atom: 277

***

(8)
## LiPaAu2O8 (PBE-GGA)

Data for crystalline LiPaAu2O8 at its relaxed geometry.

abc: 6.058 6.058 6.058
angles: 109.44 109.44 109.54
Fractional coordinates of all 12 atoms:
O (0.966, 0.647, 0.681)
O (0.546, 0.721, 0.824)
O (0.279, 0.103, 0.824)
Pa (0.000, 0.000, 0.000)
Li (0.250, 0.750, 0.500)
O (0.279, 0.454, 0.176)
Au (0.500, 0.500, 0.000)
O (0.897, 0.721, 0.176)
O (0.716, 0.034, 0.681)
O (0.353, 0.034, 0.319)
Au (0.750, 0.250, 0.500)
O (0.966, 0.284, 0.319)

Computed properties:
Energy relative to the elements, uncorrected in eV/atom: -0.82
Crystal system: tetragonal

***

In order of appearance, calculated volume = 202; 369; 502; 119; 145; 151; 141; 171 Å³ per cell.